(1)
Rb2BaPmF8: relaxed, PBE.

Lattice parameters (Å, degrees): 7.5204 7.5204 7.5204 130.35 130.35 72.84
With the nearest neighbours (Å) after each atom.
Fractional positions:
Rb  0.0000  0.0000  0.0000  8 F 2.86
Rb  0.7500  0.2500  0.5000  8 F 2.89
Ba  0.5000  0.5000  0.0000  8 F 2.71
Pm  0.2500  0.7500  0.5000  8 F 2.39
F  0.1587  0.0919  0.5205  1 Pm 2.39, 1 F 2.61
F  0.1587  0.6382  0.0668  1 Pm 2.39, 1 F 2.61
F  0.3618  0.4286  0.5205  1 Pm 2.39, 1 F 2.61
F  0.3618  0.8413  0.9332  1 Pm 2.39, 1 F 2.61
F  0.5714  0.0919  0.9332  1 Pm 2.39, 1 F 2.61
F  0.5714  0.6382  0.4795  1 Pm 2.39, 1 F 2.61
F  0.9081  0.4286  0.0668  1 Pm 2.39, 1 F 2.61
F  0.9081  0.8413  0.4795  1 Pm 2.39, 1 F 2.61

Values from the calculation:
* raw formation energy: -3.2505 eV per atom
* VASP energy: -5.22 eV/atom

(2)
Ga2Pt3Au2: relaxed, PBE.

Lattice parameters (Å, degrees): 4.3501 4.3590 7.6621 73.53 73.64 60.24
With the nearest neighbours (Å) after each atom.
Fractional positions:
Ga  0.1102  0.1113  0.1695  7 Pt 2.53-2.81
Ga  0.8898  0.8887  0.8305  7 Pt 2.53-2.81
Pt  0.2337  0.2351  0.7968  4 Ga 2.53-2.70
Pt  0.5000  0.5000  0.0000  6 Ga 2.79-2.81, 6 Pt 2.91-2.92, 2 Au 2.93
Pt  0.7663  0.7649  0.2032  4 Ga 2.53-2.70
Au  0.3649  0.3646  0.4039  5 Pt 2.85-2.93, 3 Au 2.88, 3 Ga 3.02-3.05
Au  0.6351  0.6354  0.5961  5 Pt 2.85-2.93, 3 Au 2.88, 3 Ga 3.02-3.05

Values from the calculation:
* calculated formation energy: -340.2 meV/atom
* VASP energy: -4.73 eV/atom

(3)
La2PmGa: relaxed, PBE.

Lattice parameters (Å, degrees): 4.8590 4.8590 4.9814 90.00 90.00 90.00
With the nearest neighbours (Å) after each atom.
Fractional positions:
La  0.0000  0.5000  0.0000  4 La 3.44, 4 Pm 3.48, 4 Ga 3.48
La  0.5000  0.0000  0.0000  4 La 3.44, 4 Pm 3.48, 4 Ga 3.48
Pm  0.0000  0.0000  0.5000  4 Ga 3.44, 8 La 3.48
Ga  0.5000  0.5000  0.5000  4 Pm 3.44, 8 La 3.48

Values from the calculation:
* calculated formation energy: -252.8 meV/atom
* VASP energy: -4.66 eV/atom

(4)
LaY2Ni: relaxed, PBE.

Lattice parameters (Å, degrees): 4.6001 4.6001 5.0359 90.00 90.00 90.00
With the nearest neighbours (Å) after each atom.
Fractional positions:
La  0.0000  0.0000  0.0000  4 Ni 3.25, 8 Y 3.41
Y  0.0000  0.5000  0.5000  4 Y 3.25, 4 La 3.41, 4 Ni 3.41
Y  0.5000  0.0000  0.5000  4 Y 3.25, 4 La 3.41, 4 Ni 3.41
Ni  0.5000  0.5000  0.0000  4 La 3.25, 8 Y 3.41

Values from the calculation:
* calculated formation energy: 165.0 meV/atom
* VASP energy: -5.74 eV/atom